LaHg5: relaxed, PBEsol.

Values from the calculation:
Raw total energy ... -1.7100 eV/atom
Volume ... 145.0 Å³/f.u.
ΔE_f ... -0.347 eV per atom

Cell: 4.7314 4.8305 6.7695 Å, 90.00 110.45 90.00°
With the nearest neighbours (Å) after each atom.
Atoms (fractional coordinates):
Hg 0.6701 0.0000 0.3402  10 Hg 3.12-3.38, 2 La 3.24
Hg 0.3299 0.0000 0.6598  10 Hg 3.12-3.38, 2 La 3.24
Hg 0.0000 0.0000 0.0000  8 Hg 3.20-3.27, 4 La 3.38
Hg 0.1738 0.5000 0.3476  10 Hg 3.05-3.38, 2 La 3.23
Hg 0.8262 0.5000 0.6524  10 Hg 3.05-3.38, 2 La 3.23
La 0.5000 0.5000 0.0000  12 Hg 3.23-3.38